(1)
Below is a relaxed Cs2GeO2 crystal, with properties calculated at the PBE level.

Geometry as CIF:
```
data_Cs2GeO2
_space_group_name_H-M_alt 'C 1 2/m 1'
_space_group_IT_number 12
_cell_length_a 13.029
_cell_length_b 6.398
_cell_length_c 7.151
_cell_angle_alpha 90.00
_cell_angle_beta 90.28
_cell_angle_gamma 90.00
loop_
_space_group_symop_operation_xyz
'x,y,z'
'-x,-y,-z'
'-x,y,-z'
'x,-y,z'
'x+1/2,y+1/2,z'
'-x+1/2,-y+1/2,-z'
'-x+1/2,y+1/2,-z'
'x+1/2,-y+1/2,z'
loop_
_atom_site_label
_atom_site_fract_x
_atom_site_fract_y
_atom_site_fract_z
Cs1 0.094 0.000 0.212
Cs2 0.099 0.500 0.795
Ge1 0.249 0.500 0.347
O1 0.134 0.500 0.212
O2 0.140 0.000 0.798
```

E: -4.61 eV/atom
Magnetization: 0.00 μB per formula unit


(2)
Below is a relaxed LiTbTa4N8 crystal, with properties calculated at the PBE level.

Geometry as CIF:
```
data_LiTbTa4N8
_space_group_name_H-M_alt 'R 3 m'
_space_group_IT_number 160
_space_group_name_Hall 'R 3 -2"'
_cell_length_a 6.3307
_cell_length_b 6.3307
_cell_length_c 15.6002
_cell_angle_alpha 90.00
_cell_angle_beta 90.00
_cell_angle_gamma 120.00
loop_
_atom_site_label
_atom_site_fract_x
_atom_site_fract_y
_atom_site_fract_z
Li1 0.0000 0.0000 0.0000
Tb1 0.0000 0.0000 0.3791
Ta1 0.0000 0.0000 0.6214
Ta2 0.1725 0.3451 0.8291
N1 0.0000 0.0000 0.2359
N2 0.0000 0.0000 0.7568
N3 0.0035 0.5018 0.2408
N4 0.0417 0.5208 0.7623
```

E: -9.63 eV/atom
Magnetization: 0.00 μB per formula unit